[1]
VASP calculation (PBE) on a geometry-optimized CaNpBeO6 structure.

- uncorrected formation energy (eV per atom) = -2.334

Unit cell a=5.0569 b=5.0569 c=10.3068 alpha=90.00 beta=90.00 gamma=120.00
Closest atoms and distances in Å follow each position.
Sites, in units of the cell vectors:
Ca: 0.0000 0.0000 0.0000  6 O 2.38
Ca: 0.0000 0.0000 0.5000  6 O 2.38
Np: 0.3333 0.6667 0.2500  6 O 2.00
Np: 0.6667 0.3333 0.7500  6 O 2.00
Be: 0.3333 0.6667 0.7500  6 O 1.87
Be: 0.6667 0.3333 0.2500  6 O 1.87
O: 0.0196 0.3733 0.6470  1 Be 1.87, 1 Np 2.00
O: 0.0196 0.6463 0.8530  1 Be 1.87, 1 Np 2.00
O: 0.3537 0.3733 0.8530  1 Be 1.87, 1 Np 2.00
O: 0.3537 0.9804 0.6470  1 Be 1.87, 1 Np 2.00
O: 0.3733 0.0196 0.1470  1 Be 1.87, 1 Np 2.00
O: 0.3733 0.3537 0.3530  1 Be 1.87, 1 Np 2.00
O: 0.6267 0.6463 0.6470  1 Be 1.87, 1 Np 2.00
O: 0.6267 0.9804 0.8530  1 Be 1.87, 1 Np 2.00
O: 0.6463 0.0196 0.3530  1 Be 1.87, 1 Np 2.00
O: 0.6463 0.6267 0.1470  1 Be 1.87, 1 Np 2.00
O: 0.9804 0.3537 0.1470  1 Be 1.87, 1 Np 2.00
O: 0.9804 0.6267 0.3530  1 Be 1.87, 1 Np 2.00

[2]
VASP calculation (PBE) on a geometry-optimized Ca2NpBe2O6 structure.

- uncorrected formation energy (eV per atom) = -2.691

Unit cell a=5.4154 b=5.4154 c=5.8772 alpha=90.00 beta=90.00 gamma=120.00
Closest atoms and distances in Å follow each position.
Sites, in units of the cell vectors:
Ca: 0.3333 0.6667 0.3700  3 O 2.26
Ca: 0.6667 0.3333 0.6300  3 O 2.26
Np: 0.0000 0.0000 0.0000  6 O 2.27
Be: 0.3333 0.6667 0.8148  3 O 1.55
Be: 0.6667 0.3333 0.1852  3 O 1.55
O: 0.0696 0.7015 0.7732  1 Be 1.55
O: 0.2985 0.3681 0.7732  1 Be 1.55
O: 0.3681 0.0696 0.2268  1 Be 1.55
O: 0.6319 0.9304 0.7732  1 Be 1.55
O: 0.7015 0.6319 0.2268  1 Be 1.55
O: 0.9304 0.2985 0.2268  1 Be 1.55

[3]
VASP calculation (PBE) on a geometry-optimized Ca2BeO3 structure.

- uncorrected formation energy (eV per atom) = -2.784

Unit cell a=6.7557 b=3.2090 c=12.7417 alpha=90.00 beta=90.00 gamma=90.00
Closest atoms and distances in Å follow each position.
Sites, in units of the cell vectors:
Ca: 0.0808 0.2500 0.2150  7 O 2.36-2.46
Ca: 0.2494 0.7500 0.4559  6 O 2.29-2.52
Ca: 0.2506 0.2500 0.9559  6 O 2.29-2.52
Ca: 0.4192 0.7500 0.7150  7 O 2.36-2.46
Ca: 0.5808 0.2500 0.2850  7 O 2.36-2.46
Ca: 0.7494 0.7500 0.0441  6 O 2.29-2.52
Ca: 0.7506 0.2500 0.5441  6 O 2.29-2.52
Ca: 0.9192 0.7500 0.7850  7 O 2.36-2.46
Be: 0.1362 0.2500 0.6361  2 O 1.62-1.64
Be: 0.3638 0.7500 0.1361  2 O 1.62-1.64
Be: 0.6362 0.2500 0.8639  2 O 1.62-1.64
Be: 0.8638 0.7500 0.3639  2 O 1.62-1.64
O: 0.0127 0.7500 0.6057  2 Be 1.85
O: 0.1554 0.7500 0.0737  1 Be 1.62
O: 0.1717 0.2500 0.7637  1 Be 1.64
O: 0.3283 0.7500 0.2637  1 Be 1.64
O: 0.3446 0.2500 0.5737  1 Be 1.62
O: 0.4873 0.2500 0.1057  2 Be 1.85
O: 0.5127 0.7500 0.8943  2 Be 1.85
O: 0.6554 0.7500 0.4263  1 Be 1.62
O: 0.6717 0.2500 0.7363  1 Be 1.64
O: 0.8283 0.7500 0.2363  1 Be 1.64
O: 0.8446 0.2500 0.9263  1 Be 1.62
O: 0.9873 0.2500 0.3943  2 Be 1.85

[4]
VASP calculation (PBE) on a geometry-optimized CaBeO2 structure.

- uncorrected formation energy (eV per atom) = -1.199

Unit cell a=2.9869 b=2.9869 c=17.6859 alpha=90.00 beta=90.00 gamma=120.00
Closest atoms and distances in Å follow each position.
Sites, in units of the cell vectors:
Ca: 0.0000 0.0000 0.0000  2 O 2.05
Ca: 0.3333 0.6667 0.6667  2 O 2.05
Ca: 0.6667 0.3333 0.3333  2 O 2.05
Be: 0.0000 0.0000 0.5000  6 O 1.95
Be: 0.3333 0.6667 0.1667  6 O 1.95
Be: 0.6667 0.3333 0.8333  6 O 1.95
O: 0.0000 0.0000 0.1157  3 Be 1.95, 1 Ca 2.05
O: 0.0000 0.0000 0.8843  3 Be 1.95, 1 Ca 2.05
O: 0.3333 0.6667 0.5510  3 Be 1.95, 1 Ca 2.05
O: 0.3333 0.6667 0.7823  3 Be 1.95, 1 Ca 2.05
O: 0.6667 0.3333 0.2177  3 Be 1.95, 1 Ca 2.05
O: 0.6667 0.3333 0.4490  3 Be 1.95, 1 Ca 2.05

The calculation returns the following DOS at the Fermi energy values, one per record and in order: 8.2; 12.1; 0.0; 2.7 states/eV/f.u..
The calculation returns the following VASP energy values, one per record and in order: -0.283; -0.280; -0.241; -0.188 Ha/atom.